No. 1
Compound: KZr4CdC2
Source: OQMD
Functional: PBE
Structure: optimized geometry

The structure in extended XYZ format:
```
8
Lattice="3.362 0.000 0.000 -1.681 2.912 0.000 0.000 0.000 17.218" Properties=species:S:1:pos:R:3 pbc="T T T"
C 0.000 1.941 3.848
C 0.000 1.941 13.370
Cd 0.000 0.000 0.000
K 1.681 0.971 8.609
Zr 1.681 0.971 2.603
Zr 0.000 0.000 5.084
Zr 0.000 0.000 12.134
Zr 1.681 0.971 14.615
```

Summary:
* spin magnetization: 0.388 μB per formula unit
* DFT total energy: -7.15 eV/atom
* symmetry: P-6m2 (187)



No. 2
Compound: Li4TlSbPt2
Source: OQMD
Functional: PBE
Structure: optimized geometry

The structure in extended XYZ format:
```
8
Lattice="4.518 0.000 0.000 0.000 4.518 0.000 0.000 0.000 6.360" Properties=species:S:1:pos:R:3 pbc="T T T"
Li 2.259 2.259 0.000
Li 0.000 2.259 1.605
Li 0.000 0.000 3.180
Li 2.259 0.000 4.756
Pt 2.259 0.000 1.465
Pt 0.000 2.259 4.895
Sb 0.000 0.000 0.000
Tl 2.259 2.259 3.180
```

Summary:
* spin magnetization: 0.006 μB per formula unit
* DFT total energy: -3.83 eV/atom
* symmetry: P-4m2 (115)



No. 3
Compound: TaPbNO2
Source: OQMD
Functional: PBE
Structure: optimized geometry

The structure in extended XYZ format:
```
10
Lattice="4.055 -2.246 3.420 -3.913 -2.525 3.392 0.051 -0.877 -5.694" Properties=species:S:1:pos:R:3 pbc="T T T"
N 0.036 -1.193 1.703
N 0.107 -3.579 5.109
O -1.911 -2.729 3.207
O -0.273 -1.643 -1.145
O 0.466 -4.005 2.263
O 2.104 -2.919 -2.089
Pb 2.089 -2.754 0.566
Pb -1.895 -2.894 0.552
Ta 0.000 0.000 0.000
Ta 0.071 -2.386 3.406
```

Summary:
* spin magnetization: 0.000 μB per formula unit
* DFT total energy: -8.30 eV/atom
* symmetry: I4/mcm (140)